[1]
Lu2SiGeOs: optimized geometry, GGA-PBE.

It has space group C2/m (No. 12), with a = 10.532 Å, b = 4.257 Å, c = 9.798 Å, α = 90.00°, β = 118.07° and γ = 90.00°. The distinct sites, in fractional coordinates, are Lu at (0.005, 0.000, 0.180), Lu at (0.183, 0.000, 0.609), Si at (0.006, 0.500, 0.377), Ge at (0.140, 0.500, 0.063) and Os at (0.227, 0.500, 0.863).

Its total energy is -6.76 eV per atom.



[2]
Lu2SiGeOs: optimized geometry, GGA-PBE.

It has space group C2/m (No. 12), with a = 10.455 Å, b = 4.187 Å, c = 9.915 Å, α = 90.00°, β = 118.03° and γ = 90.00°. The distinct sites, in fractional coordinates, are Lu at (0.005, 0.000, 0.173), Lu at (0.185, 0.000, 0.617), Si at (0.140, 0.500, 0.060), Ge at (0.017, 0.500, 0.376) and Os at (0.234, 0.500, 0.874).

Its total energy is -6.87 eV per atom.



[3]
TmLuSiGeOs: optimized geometry, GGA-PBE.

It has space group C2/m (No. 12), with a = 10.555 Å, b = 4.262 Å, c = 9.840 Å, α = 90.00°, β = 118.08° and γ = 90.00°. The distinct sites, in fractional coordinates, are Tm at (0.183, 0.000, 0.109), Lu at (0.004, 0.000, 0.679), Si at (0.007, 0.500, 0.877), Ge at (0.140, 0.500, 0.563) and Os at (0.227, 0.500, 0.364).

Its total energy is -6.75 eV per atom.



[4]
TmLuSiGeOs: optimized geometry, GGA-PBE.

It has space group C2/m (No. 12), with a = 10.504 Å, b = 4.197 Å, c = 9.957 Å, α = 90.00°, β = 118.16° and γ = 90.00°. The distinct sites, in fractional coordinates, are Tm at (0.006, 0.000, 0.174), Lu at (0.185, 0.000, 0.617), Si at (0.141, 0.500, 0.060), Ge at (0.016, 0.500, 0.376) and Os at (0.234, 0.500, 0.874).

Its total energy is -6.86 eV per atom.



[5]
TmLuSiGeOs: optimized geometry, GGA-PBE.

It has space group C2/m (No. 12), with a = 10.592 Å, b = 4.260 Å, c = 9.841 Å, α = 90.00°, β = 118.26° and γ = 90.00°. The distinct sites, in fractional coordinates, are Tm at (0.006, 0.000, 0.180), Lu at (0.182, 0.000, 0.609), Si at (0.006, 0.500, 0.378), Ge at (0.141, 0.500, 0.063) and Os at (0.226, 0.500, 0.863).

Its total energy is -6.75 eV per atom.



[6]
TmLuSiGeOs: optimized geometry, GGA-PBE.

It has space group C2/m (No. 12), with a = 10.480 Å, b = 4.199 Å, c = 9.955 Å, α = 90.00°, β = 117.95° and γ = 90.00°. The distinct sites, in fractional coordinates, are Tm at (0.186, 0.000, 0.117), Lu at (0.005, 0.000, 0.672), Si at (0.140, 0.500, 0.559), Ge at (0.016, 0.500, 0.875) and Os at (0.234, 0.500, 0.375).

Its total energy is -6.87 eV per atom.